Entry from Alexandria via LeMat-Bulk: a relaxed structure of PuCuRu (GGA-PBE).

```
PuCuRu
1.0
4.123 0.000 2.315
1.339 4.542 2.444
-0.276 0.126 5.321
Pu Cu Ru
2 2 2
direct
0.875 0.375 0.375 Pu
0.125 0.625 0.625 Pu
0.000 0.000 0.000 Cu
0.500 0.000 0.000 Cu
0.500 0.500 0.000 Ru
0.500 0.000 0.500 Ru
```

Formation enthalpy at 0 K ... -141 meV per atom
M_tot ... 4.51 μB/f.u.
Mass density ... 13.348 g/cm3
Offset from the most stable computed form ... 0 meV per atom

---

Entry from Alexandria via LeMat-Bulk: a relaxed structure of PuCuRu (GGA-PBE).

```
PuCuRu
1.0
3.271 0.000 0.000
0.000 3.271 0.000
-1.635 -1.635 4.907
Ru Cu Pu
1 1 1
direct
0.268 0.268 0.537 Ru
0.641 0.641 0.281 Cu
0.941 0.941 0.882 Pu
```

Formation enthalpy at 0 K ... 111 meV per atom
M_tot ... 4.69 μB/f.u.
Mass density ... 12.926 g/cm3
Offset from the most stable computed form ... 252 meV per atom

---

Entry from Alexandria via LeMat-Bulk: a relaxed structure of PuCuRu (GGA-PBE).

```
PuCuRu
1.0
-0.594 2.476 -2.095
-3.626 0.988 2.195
3.784 1.844 1.107
Ru Cu Pu
1 1 1
direct
0.166 0.000 0.000 Ru
0.167 0.667 0.333 Cu
0.667 0.333 0.667 Pu
```

Formation enthalpy at 0 K ... 90 meV per atom
M_tot ... 4.54 μB/f.u.
Mass density ... 12.543 g/cm3
Offset from the most stable computed form ... 231 meV per atom

---

Entry from Alexandria via LeMat-Bulk: a relaxed structure of SmPuCuRu (GGA-PBE).

```
SmPuCuRu
1.0
4.901 0.000 0.000
2.450 4.244 0.000
2.450 1.415 4.002
Ru Cu Sm Pu
1 1 1 1
direct
0.750 0.750 0.750 Ru
0.250 0.250 0.250 Cu
0.500 0.500 0.500 Sm
0.000 0.000 0.000 Pu
```

Formation enthalpy at 0 K ... -76 meV per atom
M_tot ... 5.38 μB/f.u.
Mass density ... 11.151 g/cm3

---

Entry from Alexandria via LeMat-Bulk: a relaxed structure of PuCuSnRu (GGA-PBE).

```
PuCuSnRu
1.0
-2.356 -3.157 -2.606
2.331 -2.762 -3.042
0.471 -4.616 0.885
Ru Sn Cu Pu
1 1 1 1
direct
0.250 0.250 0.250 Ru
0.000 0.000 0.000 Sn
0.750 0.750 0.750 Cu
0.500 0.500 0.500 Pu
```

Formation enthalpy at 0 K ... -55 meV per atom
M_tot ... 4.92 μB/f.u.
Mass density ... 11.750 g/cm3

---

Entry from Alexandria via LeMat-Bulk: a relaxed structure of PuThCuRu (GGA-PBE).

```
PuThCuRu
1.0
-3.616 2.816 -1.848
-3.423 1.914 3.007
-0.056 4.858 0.905
Ru Cu Th Pu
1 1 1 1
direct
0.250 0.250 0.250 Ru
0.750 0.750 0.750 Cu
0.000 0.000 0.000 Th
0.500 0.500 0.500 Pu
```

Formation enthalpy at 0 K ... -130 meV per atom
M_tot ... 5.63 μB/f.u.
Mass density ... 12.464 g/cm3

---

Entry from Alexandria via LeMat-Bulk: a relaxed structure of TmPuCuRu (GGA-PBE).

```
TmPuCuRu
1.0
4.818 0.000 0.000
2.409 4.172 0.000
2.409 1.391 3.934
Ru Tm Cu Pu
1 1 1 1
direct
0.000 0.000 0.000 Ru
0.750 0.750 0.750 Tm
0.500 0.500 0.500 Cu
0.250 0.250 0.250 Pu
```

Formation enthalpy at 0 K ... -168 meV per atom
M_tot ... 5.42 μB/f.u.
Mass density ... 12.130 g/cm3

---

Entry from Alexandria via LeMat-Bulk: a relaxed structure of PuUCuRu (GGA-PBE).

```
PuUCuRu
1.0
4.590 0.000 0.000
2.295 3.975 0.000
2.295 1.325 3.748
Ru U Cu Pu
1 1 1 1
direct
0.750 0.750 0.750 Ru
0.500 0.500 0.500 U
0.000 0.000 0.000 Cu
0.250 0.250 0.250 Pu
```

Formation enthalpy at 0 K ... -170 meV per atom
M_tot ... 5.06 μB/f.u.
Mass density ... 15.700 g/cm3

---

Entry from Alexandria via LeMat-Bulk: a relaxed structure of PuZrCuRu (GGA-PBE).

```
PuZrCuRu
1.0
4.740 0.000 0.000
2.370 4.105 0.000
2.370 1.368 3.871
Ru Cu Zr Pu
1 1 1 1
direct
0.000 0.000 0.000 Ru
0.500 0.500 0.500 Cu
0.250 0.250 0.250 Zr
0.750 0.750 0.750 Pu
```

Formation enthalpy at 0 K ... -109 meV per atom
M_tot ... 5.45 μB/f.u.
Mass density ... 11.019 g/cm3

---

Entry from Alexandria via LeMat-Bulk: a relaxed structure of Pu3Cu5S12 (GGA-PBE).

```
Pu3Cu5S12
1.0
12.628 0.000 0.000
-4.209 11.906 0.000
-4.209 -5.953 10.311
Pu Cu S
12 20 48
direct
0.750 0.375 0.125 Pu
0.875 0.750 0.125 Pu
0.375 0.750 0.625 Pu
0.250 0.125 0.375 Pu
0.875 0.125 0.250 Pu
0.375 0.625 0.250 Pu
0.625 0.375 0.750 Pu
0.125 0.875 0.750 Pu
0.750 0.875 0.625 Pu
0.625 0.250 0.375 Pu
0.125 0.250 0.875 Pu
0.250 0.625 0.875 Pu
0.125 0.375 0.250 Cu
0.000 0.500 0.000 Cu
0.000 0.000 0.000 Cu
0.375 0.250 0.125 Cu
0.500 0.000 0.500 Cu
0.500 0.500 0.000 Cu
0.125 0.750 0.375 Cu
0.750 0.125 0.875 Cu
0.750 0.625 0.375 Cu
0.375 0.125 0.750 Cu
0.625 0.875 0.250 Cu
0.500 0.500 0.500 Cu
0.500 0.000 0.000 Cu
0.000 0.000 0.500 Cu
0.250 0.375 0.625 Cu
0.250 0.875 0.125 Cu
0.000 0.500 0.500 Cu
0.875 0.250 0.625 Cu
0.625 0.750 0.875 Cu
0.875 0.625 0.750 Cu
0.711 0.124 0.036 S
0.325 0.536 0.411 S
0.964 0.376 0.289 S
0.536 0.211 0.124 S
0.587 0.711 0.675 S
0.964 0.589 0.175 S
0.325 0.789 0.413 S
0.089 0.913 0.124 S
0.589 0.964 0.675 S
0.711 0.587 0.175 S
0.789 0.464 0.376 S
0.825 0.911 0.036 S
0.124 0.711 0.536 S
0.376 0.411 0.087 S
0.087 0.911 0.376 S
0.413 0.124 0.589 S
0.087 0.175 0.211 S
0.464 0.675 0.089 S
0.825 0.913 0.289 S
0.124 0.413 0.089 S
0.376 0.964 0.789 S
0.589 0.624 0.413 S
0.911 0.825 0.536 S
0.789 0.325 0.913 S
0.411 0.376 0.587 S
0.089 0.175 0.464 S
0.211 0.675 0.087 S
0.175 0.087 0.711 S
0.624 0.036 0.211 S
0.876 0.587 0.911 S
0.536 0.325 0.911 S
0.587 0.876 0.411 S
0.913 0.825 0.789 S
0.913 0.089 0.624 S
0.876 0.289 0.464 S
0.175 0.089 0.964 S
0.624 0.589 0.913 S
0.411 0.036 0.325 S
0.289 0.413 0.825 S
0.211 0.536 0.624 S
0.911 0.087 0.876 S
0.675 0.211 0.587 S
0.464 0.789 0.876 S
0.036 0.411 0.825 S
0.413 0.289 0.325 S
0.036 0.624 0.711 S
0.675 0.464 0.589 S
0.289 0.876 0.964 S
```

M_tot ... 10.80 μB/f.u.
Formation energy from raw total energies ... -0.6386 eV per atom
Mass density ... 6.146 g/cm3

---

Entry from Alexandria via LeMat-Bulk: a relaxed structure of PuCuS3 (GGA-PBE).

```
PuCuS3
1.0
4.027 0.000 0.000
0.000 6.482 -1.631
0.000 -5.073 10.246
Pu Cu S
2 2 6
direct
0.250 0.361 0.610 Pu
0.750 0.639 0.390 Pu
0.250 0.158 0.101 Cu
0.750 0.842 0.899 Cu
0.750 0.153 0.651 S
0.750 0.662 0.647 S
0.250 0.847 0.349 S
0.250 0.338 0.353 S
0.250 0.703 0.924 S
0.750 0.297 0.076 S
```

M_tot ... 3.26 μB/f.u.
Formation energy from raw total energies ... -0.8755 eV per atom
Mass density ... 5.727 g/cm3

---

Entry from Alexandria via LeMat-Bulk: a relaxed structure of Pu2CuS4 (GGA-PBE).

```
Pu2CuS4
1.0
-3.673 4.459 3.215
1.492 -2.288 4.876
7.167 3.074 -0.750
Pu Cu S
4 2 8
direct
0.754 0.750 0.060 Pu
0.246 0.250 0.940 Pu
0.235 0.250 0.438 Pu
0.765 0.750 0.562 Pu
0.252 0.750 0.187 Cu
0.748 0.250 0.813 Cu
0.519 0.484 0.257 S
0.073 0.750 0.895 S
0.927 0.250 0.105 S
0.519 0.016 0.257 S
0.930 0.250 0.610 S
0.481 0.984 0.743 S
0.481 0.516 0.743 S
0.070 0.750 0.390 S
```

M_tot ... 0.06 μB/f.u.
Formation energy from raw total energies ... -1.1906 eV per atom
Mass density ... 8.150 g/cm3
Offset from the most stable computed form ... 98 meV per atom